DFT (PBE) results for an optimized crystal structure of Hf4MnN2.

Unit cell a=5.7078 b=5.7078 c=11.5054 alpha=90.00 beta=90.00 gamma=146.86
With the nearest neighbours (Å) after each atom.
Fractional coordinates of all 14 atoms:
Hf (0.0000, 0.0000, 0.0000)  4 N 2.28
Hf (0.0000, 0.0000, 0.5000)  4 N 2.28
Hf (0.2714, 0.7286, 0.6127)  3 N 2.22-2.31
Hf (0.2714, 0.7286, 0.8873)  3 N 2.22-2.31
Hf (0.4315, 0.5685, 0.2500)  2 N 2.33, 2 Mn 2.52
Hf (0.5685, 0.4315, 0.7500)  2 N 2.33, 2 Mn 2.52
Hf (0.7286, 0.2714, 0.1127)  3 N 2.22-2.31
Hf (0.7286, 0.2714, 0.3873)  3 N 2.22-2.31
Mn (0.1079, 0.8921, 0.2500)  6 Hf 2.52-2.62
Mn (0.8921, 0.1079, 0.7500)  6 Hf 2.52-2.62
N (0.3668, 0.6332, 0.0574)  6 Hf 2.22-2.33
N (0.3668, 0.6332, 0.4426)  6 Hf 2.22-2.33
N (0.6332, 0.3668, 0.5574)  6 Hf 2.22-2.33
N (0.6332, 0.3668, 0.9426)  6 Hf 2.22-2.33

ΔE_f (raw) (meV per atom): -1088
Theoretical density (g/cm³): 12.92
Space-group type: Cmcm
Spin magnetization (μB per formula unit): 0.0